Pr2Mn2O5 | PBE with a Hubbard U | optimized geometry Values from VASP.

Summary:
Spin magnetization in μB/atom: 1.111
Raw total energy in eV/atom: -7.927
Crystal system: monoclinic

The structure in Quantum ESPRESSO input format:
```
&SYSTEM
  ibrav = 0, nat = 9, ntyp = 3
/
ATOMIC_SPECIES
Pr 140.91 Pr.upf
Mn 54.94 Mn.upf
O 16.00 O.upf
CELL_PARAMETERS angstrom
6.0173 -2.0080 0.0000
6.0173 2.0080 0.0000
-2.9136 0.0000 5.5699
ATOMIC_POSITIONS angstrom
Pr 0.5376 0.0000 1.5828
Pr 8.5834 0.0000 3.9871
Mn 3.8451 0.0000 0.8301
Mn 5.2759 0.0000 4.7399
O -0.9978 0.0000 5.1668
O 2.7030 0.0000 2.6103
O 6.0173 0.0000 0.0000
O 6.4180 0.0000 2.9596
O 10.1189 0.0000 0.4031
```